No. 1
This record from the Alexandria database describes a relaxed structure of YPdN3. The functional is PBE.

abc: 4.449 4.449 4.449
angles: 90.00 90.00 90.00
Site moments in Bohr magnetons follow the coordinates.
Positions (direct):
1 Y 0.000 0.000 0.000  0.14
2 N 0.000 0.500 0.000  1.15
3 N 0.500 0.000 0.000  0.96
4 N 0.000 0.000 0.500  1.40
5 Pd 0.500 0.500 0.500  0.88

Results
The space-group type is No. 221. For the total energy, the calculation gives -0.207 Ha/atom.

No. 2
This record from the Alexandria database describes a relaxed structure of Y6Pd2N. The functional is PBE.

abc: 6.544 7.009 9.592
angles: 90.00 89.07 90.00
Positions (direct):
1 Y 0.321 0.801 0.945
2 Y 0.305 0.818 0.555
3 Y 0.821 0.699 0.445
4 Y 0.611 0.472 0.759
5 Y 0.679 0.199 0.055
6 Y 0.695 0.182 0.445
7 Y 0.195 0.318 0.945
8 Y 0.179 0.301 0.555
9 Y 0.389 0.528 0.241
10 Y 0.111 0.028 0.259
11 Y 0.805 0.682 0.055
12 Y 0.889 0.972 0.741
13 N 0.000 0.000 0.500
14 N 0.500 0.500 0.000
15 Pd 0.037 0.585 0.751
16 Pd 0.963 0.415 0.249
17 Pd 0.463 0.085 0.749
18 Pd 0.537 0.915 0.251

Results
The space-group type is No. 14. For the total energy, the calculation gives -0.263 Ha/atom.

No. 3
This record from the Alexandria database describes a relaxed structure of YPdN2. The functional is PBE.

abc: 4.712 4.712 6.477
angles: 68.67 68.67 90.00
Positions (direct):
1 N 0.875 0.915 0.750
2 N 0.375 0.335 0.750
3 N 0.085 0.625 0.250
4 N 0.665 0.125 0.250
5 Y 0.250 0.750 0.500
6 Y 0.500 0.500 0.000
7 Pd 0.000 0.000 0.000
8 Pd 0.750 0.250 0.500

Results
Its distance to the lowest polymorph of the same formula is 0.0000 eV/atom. The space-group type is No. 122.

No. 4
This record from the Alexandria database describes a relaxed structure of YPdN2. The functional is PBE.

abc: 6.484 6.484 6.484
angles: 30.22 30.22 30.22
Positions (direct):
1 Pd 0.500 0.500 0.500
2 N 0.120 0.120 0.120
3 N 0.880 0.880 0.880
4 Y 0.000 0.000 0.000

Results
Its distance to the lowest polymorph of the same formula is 0.7295 eV/atom. The space-group type is No. 166.

No. 5
This record from the Alexandria database describes a relaxed structure of YPdN3. The functional is PBE.

abc: 3.952 3.952 3.952
angles: 90.00 90.00 90.00
Site moments in Bohr magnetons follow the coordinates.
Positions (direct):
1 N 0.000 0.500 0.000  0.35
2 N 0.000 0.000 0.500  0.20
3 N 0.500 0.000 0.000  0.68
4 Y 0.500 0.500 0.500  0.01
5 Pd 0.000 0.000 0.000  0.30

Results
The space-group type is No. 221. For the total energy, the calculation gives -0.243 Ha/atom.

No. 6
This record from the Alexandria database describes a relaxed structure of YPdN2. The functional is PBE.

abc: 4.104 4.104 4.104
angles: 60.00 60.00 60.00
Positions (direct):
1 Pd 0.500 0.500 0.500
2 N 0.750 0.750 0.750
3 N 0.250 0.250 0.250
4 Y 0.000 0.000 0.000

Results
Its distance to the lowest polymorph of the same formula is 0.2445 eV/atom. The space-group type is No. 225.

No. 7
This record from the Alexandria database describes a relaxed structure of YZr2PdN. The functional is PBE.

abc: 4.449 4.449 4.765
angles: 90.00 90.00 90.00
Positions (direct):
1 Y 0.000 0.000 0.500
2 N 0.000 0.000 0.000
3 Zr 0.000 0.500 0.000
4 Zr 0.500 0.000 0.000
5 Pd 0.500 0.500 0.500

Results
The space-group type is No. 123. For the total energy, the calculation gives -0.304 Ha/atom.

No. 8
This record from the Alexandria database describes a relaxed structure of ZnPd3N. The functional is PBE.

abc: 4.704 4.704 4.704
angles: 90.00 90.00 90.00
Site moments in Bohr magnetons follow the coordinates.
Positions (direct):
1 N 0.500 0.500 0.500  1.60
2 Pd 0.000 0.500 0.000  0.26
3 Pd 0.000 0.000 0.500  0.15
4 Pd 0.500 0.000 0.000  0.22
5 Zn 0.000 0.000 0.000  0.01

Results
Its distance to the lowest polymorph of the same formula is 1.5361 eV/atom. The space-group type is No. 221.

No. 9
This record from the Alexandria database describes a relaxed structure of ZnPdN3. The functional is PBE.

abc: 3.814 3.814 3.814
angles: 90.00 90.00 90.00
Positions (direct):
1 N 0.000 0.000 0.500
2 N 0.000 0.500 0.000
3 N 0.500 0.000 0.000
4 Zn 0.000 0.000 0.000
5 Pd 0.500 0.500 0.500

Results
The space-group type is No. 221. For the total energy, the calculation gives -0.151 Ha/atom.

No. 10
This record from the Alexandria database describes a relaxed structure of ZnPd3N. The functional is PBE.

abc: 4.136 4.136 4.136
angles: 90.00 90.00 90.00
Positions (direct):
1 Pd 0.500 0.000 0.000
2 Pd 0.000 0.500 0.000
3 Pd 0.000 0.000 0.500
4 Zn 0.500 0.500 0.500
5 N 0.000 0.000 0.000

Results
Its distance to the lowest polymorph of the same formula is 0.0000 eV/atom. The space-group type is No. 221.

No. 11
This record from the Alexandria database describes a relaxed structure of ZnPdN2. The functional is PBE.

abc: 4.633 4.633 5.788
angles: 66.41 66.41 90.00
Positions (direct):
1 Pd 0.000 0.000 0.000
2 Pd 0.750 0.250 0.500
3 N 0.375 0.373 0.750
4 N 0.123 0.625 0.250
5 N 0.875 0.877 0.750
6 N 0.627 0.125 0.250
7 Zn 0.250 0.750 0.500
8 Zn 0.500 0.500 0.000

Results
The space-group type is No. 122. For the total energy, the calculation gives -0.183 Ha/atom.

No. 12
This record from the Alexandria database describes a relaxed structure of ZnPdN2. The functional is PBE.

abc: 6.012 6.012 6.012
angles: 30.72 30.72 30.72
Positions (direct):
1 Pd 0.500 0.500 0.500
2 N 0.108 0.108 0.108
3 N 0.892 0.892 0.892
4 Zn 0.000 0.000 0.000

Results
The space-group type is No. 166. For the total energy, the calculation gives -0.186 Ha/atom.